# 1
Computed, not measured: a relaxed structure of CaTl2PbBr6 at the PBE-GGA level of DFT.

abc: 7.7514 8.2698 11.2610
angles: 90.00 89.77 90.00
Atoms (fractional coordinates):
Ca 0.5000 0.0000 0.5000
Ca 0.0000 0.5000 0.0000
Tl 0.0302 0.9189 0.2516
Tl 0.5302 0.5811 0.7516
Tl 0.9698 0.0811 0.7484
Tl 0.4698 0.4189 0.2484
Pb 0.5000 0.0000 0.0000
Pb 0.0000 0.5000 0.5000
Br 0.3064 0.6881 0.0571
Br 0.8064 0.8119 0.5571
Br 0.6936 0.3119 0.9429
Br 0.1936 0.1881 0.4429
Br 0.3191 0.7006 0.4405
Br 0.8191 0.7994 0.9405
Br 0.6809 0.2994 0.5595
Br 0.1809 0.2006 0.0595
Br 0.8799 0.5343 0.2440
Br 0.3799 0.9657 0.7440
Br 0.1201 0.4657 0.7560
Br 0.6201 0.0343 0.2560

Summary:
Raw formation energy ... -1.2316 eV per atom
Symmetry ... P2_1/c

# 2
Computed, not measured: a relaxed structure of Ba2GePd at the PBE-GGA level of DFT.

abc: 8.7193 8.7193 7.1259
angles: 52.28 52.28 90.00
Atoms (fractional coordinates):
Ge 0.5000 0.5000 0.0000
Ge 0.2500 0.7500 0.5000
Ba 0.6524 0.1250 0.2500
Ba 0.0976 0.6250 0.2500
Ba 0.3750 0.3476 0.7500
Ba 0.8750 0.9024 0.7500
Pd 0.0000 0.0000 0.0000
Pd 0.7500 0.2500 0.5000

Summary:
Calculated formation energy ... -0.134 eV per atom
Symmetry ... I-42d

# 3
Computed, not measured: a relaxed structure of KNd2S3 at the PBE-GGA level of DFT.

abc: 4.1230 4.1230 21.6659
angles: 90.00 90.00 120.00
Atoms (fractional coordinates):
K 0.0000 0.0000 0.2500
K 0.0000 0.0000 0.7500
Nd 0.3333 0.6667 0.9221
Nd 0.6667 0.3333 0.0779
Nd 0.6667 0.3333 0.4221
Nd 0.3333 0.6667 0.5779
S 0.0000 0.0000 0.0000
S 0.3333 0.6667 0.1495
S 0.3333 0.6667 0.3505
S 0.0000 0.0000 0.5000
S 0.6667 0.3333 0.6495
S 0.6667 0.3333 0.8505

Summary:
Raw formation energy ... -1.8963 eV per atom
Symmetry ... P6_3/mmc

# 4
Computed, not measured: a relaxed structure of SrCa2HgS at the PBE-GGA level of DFT.

abc: 5.3391 5.3391 5.8403
angles: 90.00 90.00 90.00
Atoms (fractional coordinates):
S 0.0000 0.0000 0.0000
Sr 0.0000 0.0000 0.5000
Ca 0.0000 0.5000 0.0000
Ca 0.5000 0.0000 0.0000
Hg 0.5000 0.5000 0.5000

Summary:
Raw formation energy ... -0.8735 eV per atom
Symmetry ... P4/mmm

# 5
Computed, not measured: a relaxed structure of PrYEr14 at the PBE-GGA level of DFT.

abc: 7.0841 7.0841 11.3879
angles: 90.00 90.00 119.97
Atoms (fractional coordinates):
Pr 0.7077 0.2923 0.5000
Y 0.2081 0.7919 0.5000
Er 0.0418 0.9582 0.0000
Er 0.5417 0.4583 0.0000
Er 0.2083 0.2922 0.5000
Er 0.0422 0.4580 0.0000
Er 0.7078 0.7917 0.5000
Er 0.5420 0.9578 0.0000
Er 0.3745 0.1251 0.7533
Er 0.3745 0.1251 0.2467
Er 0.8749 0.6255 0.7533
Er 0.8749 0.6255 0.2467
Er 0.3754 0.6246 0.7510
Er 0.3754 0.6246 0.2490
Er 0.8754 0.1246 0.7521
Er 0.8754 0.1246 0.2479

Summary:
Calculated formation energy ... 0.009 eV per atom
Symmetry ... Amm2

# 6
Computed, not measured: a relaxed structure of Tb4Hg3H2 at the PBE-GGA level of DFT.

abc: 4.6193 5.7871 8.3389
angles: 107.77 90.00 113.52
Atoms (fractional coordinates):
Tb 0.7095 0.4189 0.1298
Tb 0.2905 0.5811 0.8702
Tb 0.8794 0.7588 0.5966
Tb 0.1206 0.2412 0.4034
Hg 0.6028 0.2056 0.6962
Hg 0.0000 0.0000 0.0000
Hg 0.3972 0.7944 0.3038
H 0.6863 0.3725 0.3832
H 0.3137 0.6275 0.6168

Summary:
Energy ... -30.07 eV per cell
Symmetry ... C2/m

# 7
Computed, not measured: a relaxed structure of La3Pm4Tm5 at the PBE-GGA level of DFT.

abc: 6.0143 8.5877 9.7277
angles: 104.99 71.99 69.50
Atoms (fractional coordinates):
La 0.5255 0.6864 0.2625
La 0.0000 0.5000 0.5000
La 0.4745 0.3136 0.7375
Pm 0.8620 0.2230 0.0530
Pm 0.1756 0.0309 0.6179
Pm 0.8244 0.9691 0.3821
Pm 0.1380 0.7770 0.9470
Tm 0.6268 0.9429 0.8034
Tm 0.5000 0.5000 0.5000
Tm 0.2134 0.4570 0.1162
Tm 0.7866 0.5430 0.8838
Tm 0.3732 0.0571 0.1966

Summary:
E above lowest polymorph ... 240 kJ/mol of formula units
Calculated formation energy ... 0.232 eV per atom
Symmetry ... C2/m

# 8
Computed, not measured: a relaxed structure of K3Ce3TaSe8 at the PBE-GGA level of DFT.

abc: 8.3642 8.3653 9.2448
angles: 116.88 90.00 120.00
Atoms (fractional coordinates):
K 0.0000 0.0000 0.0000
K 0.0000 0.5000 0.0000
K 0.5000 0.5000 0.0000
Ce 0.5000 0.0000 0.5000
Ce 0.5000 0.5000 0.5000
Ce 0.0000 0.5000 0.5000
Ta 0.0000 0.0000 0.5000
Se 0.2621 0.5242 0.2861
Se 0.7379 0.4758 0.7139
Se 0.7827 0.5655 0.3048
Se 0.2173 0.4345 0.6952
Se 0.7826 0.0223 0.3048
Se 0.2174 0.9777 0.6952
Se 0.2396 0.0223 0.3048
Se 0.7604 0.9777 0.6952

Summary:
Raw formation energy ... -1.4542 eV per atom
Symmetry ... R-3m